Compound: Mn7FeO12
Source: the Alexandria database
Functional: PBE with a Hubbard U
Structure: optimized geometry

Output
VASP energy, eV/f.u.: -145.359

Lattice parameters (Å, degrees): 6.4834 6.4834 6.4834 109.47 109.47 109.47
Last column: nearest neighbours and their distance in Å.
Positions (direct):
Mn 0.5000 0.0000 0.5000  4 O 1.96
Mn 0.5000 0.5000 0.0000  4 O 1.96
Mn 0.0000 0.5000 0.5000  4 O 1.96
Mn 0.0000 0.0000 0.5000  6 O 2.00
Mn 0.5000 0.0000 0.0000  6 O 2.00
Mn 0.5000 0.5000 0.5000  6 O 2.00
Mn 0.0000 0.5000 0.0000  6 O 2.00
Fe 0.0000 0.0000 0.0000  12 O 2.64
O 0.3055 0.1754 0.4809  3 Mn 1.96-2.00
O 0.3055 0.8246 0.1301  3 Mn 1.96-2.00
O 0.6945 0.8246 0.5191  3 Mn 1.96-2.00
O 0.6945 0.1754 0.8699  3 Mn 1.96-2.00
O 0.4809 0.3055 0.1754  3 Mn 1.96-2.00
O 0.8699 0.6945 0.1754  3 Mn 1.96-2.00
O 0.5191 0.6945 0.8246  3 Mn 1.96-2.00
O 0.1301 0.3055 0.8246  3 Mn 1.96-2.00
O 0.8246 0.1301 0.3055  3 Mn 1.96-2.00
O 0.1754 0.8699 0.6945  3 Mn 1.96-2.00
O 0.1754 0.4809 0.3055  3 Mn 1.96-2.00
O 0.8246 0.5191 0.6945  3 Mn 1.96-2.00